# 1
{
  "formula": "Pm3Er6Sc",
  "functional": "PBE",
  "state": "relaxed",
  "lattice_angstrom": [[6.085, 0.000, 0.000], [1.006, 6.031, 0.000], [3.023, 2.541, 8.424]],
  "species": ["Pm", "Pm", "Pm", "Er", "Er", "Er", "Er", "Er", "Er", "Sc"],
  "frac_coords": [[0.000, 0.000, 0.000], [0.004, 0.600, 0.796], [0.996, 0.400, 0.204], [0.001, 0.796, 0.403], [0.499, 0.098, 0.304], [0.499, 0.699, 0.103], [0.501, 0.301, 0.897], [0.501, 0.902, 0.696], [0.999, 0.204, 0.597], [0.500, 0.500, 0.500]],
  "polymorph_energy_mev_per_atom": 0,
  "m_tot_mub_per_cell": 0.000
}

# 2
{
  "formula": "Pm12Er7Sc",
  "functional": "PBE",
  "state": "relaxed",
  "lattice_angstrom": [[7.545, 4.356, 3.353], [-7.545, 4.356, 3.353], [0.000, -8.712, 3.353]],
  "species": ["Pm", "Pm", "Pm", "Pm", "Pm", "Pm", "Pm", "Pm", "Pm", "Pm", "Pm", "Pm", "Er", "Er", "Er", "Er", "Er", "Er", "Er", "Sc"],
  "frac_coords": [[0.096, 0.443, 0.204], [0.118, 0.282, 0.823], [0.177, 0.882, 0.718], [0.204, 0.096, 0.443], [0.282, 0.823, 0.118], [0.443, 0.204, 0.096], [0.557, 0.796, 0.904], [0.718, 0.177, 0.882], [0.796, 0.904, 0.557], [0.823, 0.118, 0.282], [0.882, 0.718, 0.177], [0.904, 0.557, 0.796], [0.000, 0.000, 0.000], [0.186, 0.494, 0.601], [0.399, 0.814, 0.506], [0.494, 0.601, 0.186], [0.506, 0.399, 0.814], [0.601, 0.186, 0.494], [0.814, 0.506, 0.399], [0.500, 0.500, 0.500]],
  "polymorph_energy_mev_per_atom": 0,
  "m_tot_mub_per_cell": 0.000
}

# 3
{
  "formula": "Pm4ErSc2",
  "functional": "PBE",
  "state": "relaxed",
  "lattice_angstrom": [[5.536, 0.000, 0.000], [0.000, 6.857, 0.000], [-2.771, 0.000, 11.513]],
  "species": ["Pm", "Pm", "Pm", "Pm", "Pm", "Pm", "Pm", "Pm", "Er", "Er", "Sc", "Sc", "Sc", "Sc"],
  "frac_coords": [[0.068, 0.250, 0.138], [0.217, 0.750, 0.435], [0.356, 0.502, 0.711], [0.356, 0.998, 0.711], [0.644, 0.002, 0.289], [0.644, 0.498, 0.289], [0.783, 0.250, 0.565], [0.932, 0.750, 0.862], [0.077, 0.750, 0.152], [0.923, 0.250, 0.848], [0.210, 0.250, 0.419], [0.497, 0.250, 0.998], [0.503, 0.750, 0.002], [0.790, 0.750, 0.581]],
  "m_tot_mub_per_cell": 0.001
}

# 4
{
  "formula": "Pm2ErSc",
  "functional": "PBE",
  "state": "relaxed",
  "lattice_angstrom": [[5.018, 0.000, 0.000], [0.000, 5.018, 0.000], [0.000, 0.000, 4.875]],
  "species": ["Pm", "Pm", "Er", "Sc"],
  "frac_coords": [[0.000, 0.500, 0.000], [0.500, 0.000, 0.000], [0.000, 0.000, 0.500], [0.500, 0.500, 0.500]],
  "polymorph_energy_mev_per_atom": 1,
  "m_tot_mub_per_cell": 0.000
}

# 5
{
  "formula": "PmEr5Sc6",
  "functional": "PBE",
  "state": "relaxed",
  "lattice_angstrom": [[2.953, -5.113, 0.000], [2.953, 5.113, 0.000], [-1.965, 0.000, 10.959]],
  "species": ["Pm", "Er", "Er", "Er", "Er", "Er", "Sc", "Sc", "Sc", "Sc", "Sc", "Sc"],
  "frac_coords": [[0.000, 0.000, 0.000], [0.167, 0.833, 0.500], [0.333, 0.667, 0.000], [0.500, 0.500, 0.500], [0.667, 0.333, 0.000], [0.833, 0.167, 0.500], [0.084, 0.417, 0.251], [0.250, 0.250, 0.749], [0.417, 0.084, 0.251], [0.583, 0.916, 0.749], [0.750, 0.750, 0.251], [0.916, 0.583, 0.749]],
  "m_tot_mub_per_cell": 0.000
}

# 6
{
  "formula": "Pm8ErSc5",
  "functional": "PBE",
  "state": "relaxed",
  "lattice_angstrom": [[8.253, 0.000, 0.000], [-0.694, 8.230, 0.000], [-3.872, -4.024, 6.402]],
  "species": ["Pm", "Pm", "Pm", "Pm", "Pm", "Pm", "Pm", "Pm", "Er", "Sc", "Sc", "Sc", "Sc", "Sc"],
  "frac_coords": [[0.000, 0.000, 0.000], [0.046, 0.581, 0.271], [0.124, 0.012, 0.622], [0.197, 0.660, 0.856], [0.509, 0.437, 0.586], [0.588, 0.163, 0.234], [0.713, 0.785, 0.125], [0.857, 0.248, 0.733], [0.572, 0.307, 0.927], [0.054, 0.283, 0.430], [0.315, 0.421, 0.134], [0.388, 0.935, 0.384], [0.486, 0.843, 0.724], [0.746, 0.665, 0.472]],
  "m_tot_mub_per_cell": 0.000
}

# 7
{
  "formula": "Pm3ErSc",
  "functional": "PBE",
  "state": "relaxed",
  "lattice_angstrom": [[3.517, 0.000, 0.000], [-1.133, 8.373, 0.000], [-0.080, -4.162, 10.734]],
  "species": ["Pm", "Pm", "Pm", "Pm", "Pm", "Pm", "Er", "Er", "Sc", "Sc"],
  "frac_coords": [[0.065, 0.132, 0.160], [0.303, 0.695, 0.545], [0.361, 0.712, 0.059], [0.639, 0.288, 0.941], [0.697, 0.305, 0.455], [0.935, 0.868, 0.840], [0.287, 0.457, 0.739], [0.713, 0.543, 0.261], [0.207, 0.930, 0.369], [0.793, 0.070, 0.631]],
  "polymorph_energy_mev_per_atom": 0,
  "m_tot_mub_per_cell": 0.000
}

# 8
{
  "formula": "Pm7Er4Sc",
  "functional": "PBE",
  "state": "relaxed",
  "lattice_angstrom": [[6.248, 0.000, 0.000], [-0.008, 7.201, 0.000], [-2.091, -0.003, 8.630]],
  "species": ["Pm", "Pm", "Pm", "Pm", "Pm", "Pm", "Pm", "Er", "Er", "Er", "Er", "Sc"],
  "frac_coords": [[0.000, 0.000, 0.000], [0.218, 0.499, 0.668], [0.279, 0.748, 0.333], [0.499, 0.249, 0.001], [0.501, 0.751, 0.999], [0.721, 0.252, 0.667], [0.782, 0.501, 0.332], [0.222, 0.999, 0.664], [0.276, 0.250, 0.331], [0.724, 0.750, 0.669], [0.778, 0.001, 0.336], [0.000, 0.500, 0.000]],
  "polymorph_energy_mev_per_atom": 0,
  "m_tot_mub_per_cell": 0.000
}

no.,energy of formation (eV/atom),energy (eV/atom),volume (Å³ per cell)
1,0.03,-4.76,309
2,0.16,-4.61,661
3,0.15,-5.02,437
4,0.04,-5.06,123
5,0.06,-5.41,331
6,0.21,-5.10,435
7,0.08,-4.95,316
8,0.02,-4.80,388